1.
# Tb5Pm4Er3 | Alexandria via LeMat-Bulk | PBE | relaxed
data_Tb5Pm4Er3
_symmetry_space_group_name_H-M 'P 1'
_symmetry_Int_Tables_number 1
_cell_length_a 8.595
_cell_length_b 8.595
_cell_length_c 9.351
_cell_angle_alpha 114.90
_cell_angle_beta 114.90
_cell_angle_gamma 40.26
loop_
_symmetry_equiv_pos_as_xyz
'x,y,z'
loop_
_atom_site_label
_atom_site_fract_x
_atom_site_fract_y
_atom_site_fract_z
_atom_site_occupancy
Tb1 0.000 0.000 0.000 1
Tb2 0.328 0.328 0.615 1
Tb3 0.428 0.428 0.298 1
Tb4 0.572 0.572 0.702 1
Tb5 0.672 0.672 0.385 1
Pm1 0.083 0.083 0.444 1
Pm2 0.216 0.216 0.880 1
Pm3 0.784 0.784 0.120 1
Pm4 0.917 0.917 0.556 1
Er1 0.211 0.211 0.233 1
Er2 0.500 0.500 0.000 1
Er3 0.789 0.789 0.767 1
# Mass density: 7.8 Mg/m³
# Final energy: -53.11 eV/cell

***

2.
# BaNaLi2Cu | Alexandria via LeMat-Bulk | PBE | relaxed
data_BaNaLi2Cu
_symmetry_space_group_name_H-M 'P 1'
_symmetry_Int_Tables_number 1
_cell_length_a 5.190
_cell_length_b 5.190
_cell_length_c 5.516
_cell_angle_alpha 90.00
_cell_angle_beta 90.00
_cell_angle_gamma 90.00
loop_
_symmetry_equiv_pos_as_xyz
'x,y,z'
loop_
_atom_site_label
_atom_site_fract_x
_atom_site_fract_y
_atom_site_fract_z
_atom_site_occupancy
Ba1 0.000 0.000 0.000 1
Na1 0.500 0.500 0.000 1
Li1 0.000 0.500 0.500 1
Li2 0.500 0.000 0.500 1
Cu1 0.500 0.500 0.500 1
# Mass density: 2.7 Mg/m³
# Final energy: -10.35 eV/cell

***

3.
# KSb2Rh | Alexandria via LeMat-Bulk | PBE | relaxed
data_KSb2Rh
_symmetry_space_group_name_H-M 'P 1'
_symmetry_Int_Tables_number 1
_cell_length_a 5.704
_cell_length_b 5.704
_cell_length_c 5.704
_cell_angle_alpha 133.74
_cell_angle_beta 133.74
_cell_angle_gamma 67.49
loop_
_symmetry_equiv_pos_as_xyz
'x,y,z'
loop_
_atom_site_label
_atom_site_fract_x
_atom_site_fract_y
_atom_site_fract_z
_atom_site_occupancy
K1 0.000 0.000 0.000 1
Sb1 0.500 0.500 0.000 1
Sb2 0.750 0.250 0.500 1
Rh1 0.250 0.750 0.500 1
# Formation energy from raw total energies: 278 meV per atom
# Mass density: 6.7 Mg/m³
# Final energy: -15.58 eV/cell

***

4.
# TlCu4I8 | Alexandria via LeMat-Bulk | PBE | relaxed
data_TlCu4I8
_symmetry_space_group_name_H-M 'P 1'
_symmetry_Int_Tables_number 1
_cell_length_a 8.445
_cell_length_b 8.445
_cell_length_c 8.445
_cell_angle_alpha 58.60
_cell_angle_beta 58.60
_cell_angle_gamma 58.60
loop_
_symmetry_equiv_pos_as_xyz
'x,y,z'
loop_
_atom_site_label
_atom_site_fract_x
_atom_site_fract_y
_atom_site_fract_z
_atom_site_occupancy
Tl1 0.000 0.000 0.000 1
Cu1 0.000 0.500 0.500 1
Cu2 0.500 0.000 0.500 1
Cu3 0.500 0.500 0.000 1
Cu4 0.500 0.500 0.500 1
I1 0.265 0.265 0.733 1
I2 0.265 0.733 0.265 1
I3 0.267 0.735 0.735 1
I4 0.269 0.269 0.269 1
I5 0.731 0.731 0.731 1
I6 0.733 0.265 0.265 1
I7 0.735 0.267 0.735 1
I8 0.735 0.735 0.267 1
# Formation energy from raw total energies: -80 meV per atom
# Mass density: 5.9 Mg/m³
# Final energy: -32.19 eV/cell

***

5.
# K2Cu2Cl7 | Alexandria via LeMat-Bulk | PBE | relaxed
data_K2Cu2Cl7
_symmetry_space_group_name_H-M 'P 1'
_symmetry_Int_Tables_number 1
_cell_length_a 7.072
_cell_length_b 7.072
_cell_length_c 6.373
_cell_angle_alpha 90.00
_cell_angle_beta 90.00
_cell_angle_gamma 117.78
loop_
_symmetry_equiv_pos_as_xyz
'x,y,z'
loop_
_atom_site_label
_atom_site_fract_x
_atom_site_fract_y
_atom_site_fract_z
_atom_site_occupancy
K1 0.212 0.212 0.000 1
K2 0.788 0.788 0.000 1
Cu1 0.229 0.771 0.500 1
Cu2 0.771 0.229 0.500 1
Cl1 0.000 0.000 0.500 1
Cl2 0.000 0.500 0.262 1
Cl3 0.000 0.500 0.738 1
Cl4 0.500 0.000 0.262 1
Cl5 0.500 0.000 0.738 1
Cl6 0.500 0.500 0.314 1
Cl7 0.500 0.500 0.686 1
# Formation energy from raw total energies: -760 meV per atom
# Mass density: 2.7 Mg/m³
# Final energy: -31.67 eV/cell

***

6.
# Cs2SmTiS4 | Alexandria via LeMat-Bulk | PBE | relaxed
data_Cs2SmTiS4
_symmetry_space_group_name_H-M 'P 1'
_symmetry_Int_Tables_number 1
_cell_length_a 14.980
_cell_length_b 13.436
_cell_length_c 8.051
_cell_angle_alpha 84.45
_cell_angle_beta 63.21
_cell_angle_gamma 32.34
loop_
_symmetry_equiv_pos_as_xyz
'x,y,z'
loop_
_atom_site_label
_atom_site_fract_x
_atom_site_fract_y
_atom_site_fract_z
_atom_site_occupancy
Cs1 0.054 0.054 0.696 1
Cs2 0.304 0.304 0.946 1
Cs3 0.696 0.696 0.054 1
Cs4 0.946 0.946 0.304 1
Sm1 0.125 0.125 0.125 1
Sm2 0.875 0.875 0.875 1
Ti1 0.375 0.375 0.375 1
Ti2 0.625 0.625 0.625 1
S1 0.018 0.633 0.542 1
S2 0.307 0.542 0.633 1
S3 0.367 0.982 0.693 1
S4 0.458 0.693 0.982 1
S5 0.542 0.307 0.018 1
S6 0.633 0.018 0.307 1
S7 0.693 0.458 0.367 1
S8 0.982 0.367 0.458 1
# Formation energy from raw total energies: -1374 meV per atom
# Mass density: 3.2 Mg/m³
# Final energy: -83.64 eV/cell